Run w
DFT (PBE) results for a geometry-optimized ThUSe3 structure.

Computed properties:
* V: 604.6 Å³ per cell

Cell and atoms, written as POSCAR:
```
ThUSe3
1.0
7.2660 0.0000 0.0000
0.0000 6.7677 -1.4227
0.0000 1.9422 11.8864
U Se Th
4 12 4
Direct
0.2501 0.9172 0.9150 U
0.2499 0.4172 0.4150 U
0.7499 0.0828 0.0850 U
0.7501 0.5828 0.5850 U
0.5004 0.7505 0.7500 Se
0.9998 0.2557 0.5769 Se
0.0003 0.2442 0.9231 Se
0.5002 0.7557 0.0769 Se
0.4998 0.2443 0.9231 Se
0.9996 0.2505 0.2500 Se
0.4997 0.7442 0.4231 Se
0.5003 0.2558 0.5769 Se
0.4996 0.2495 0.2500 Se
0.0004 0.7495 0.7500 Se
0.9997 0.7558 0.0769 Se
0.0002 0.7443 0.4231 Se
0.7501 0.5763 0.9082 Th
0.7499 0.0763 0.4082 Th
0.2499 0.4237 0.0918 Th
0.2501 0.9237 0.5918 Th
```

***

Run x
DFT (PBE) results for a geometry-optimized ThUSe3 structure.

Computed properties:
* V: 267.4 Å³ per cell

Cell and atoms, written as POSCAR:
```
ThUSe3
1.0
5.7935 0.0000 0.0000
-2.8967 5.8124 -1.1663
0.0000 -3.3672 8.6172
Se Th U
6 2 2
Direct
0.8621 0.7241 0.8327 Se
0.5885 0.1769 0.8500 Se
0.1596 0.3193 0.5397 Se
0.8404 0.6807 0.4603 Se
0.4115 0.8231 0.1500 Se
0.1379 0.2759 0.1673 Se
0.1058 0.2115 0.8280 Th
0.8942 0.7885 0.1720 Th
0.3859 0.7719 0.4697 U
0.6141 0.2281 0.5303 U
```

***

Stability ranking, top and bottom: run w is the most stable and run x is the least stable.

***

Run w
DFT (PBE) results for a geometry-optimized YThSe structure.

Computed properties:
* V: 88.9 Å³ per cell

Cell and atoms, written as POSCAR:
```
YThSe
1.0
-0.6605 0.2908 3.8211
-0.8745 -3.2900 -1.8795
6.2334 -2.3757 1.2583
Se Y Th
1 1 1
Direct
0.3333 0.6667 0.6575 Se
0.6667 0.3333 0.3876 Y
0.0000 0.0000 0.9549 Th
```

***

Run x
DFT (PBE) results for a geometry-optimized YThSe structure.

Computed properties:
* V: 352.2 Å³ per cell

Cell and atoms, written as POSCAR:
```
YThSe
1.0
-6.5214 -1.8178 3.1901
5.4869 -7.4201 6.9884
-2.2288 6.6700 -0.7556
Se Y Th
4 4 4
Direct
0.6956 0.0642 0.0000 Se
0.3044 0.9358 0.0000 Se
0.8044 0.5642 0.0000 Se
0.1956 0.4358 0.0000 Se
0.5000 0.7009 0.4018 Y
0.0000 0.2009 0.4018 Y
0.5000 0.2991 0.5982 Y
0.0000 0.7991 0.5982 Y
0.3192 0.1998 0.0000 Th
0.6808 0.8002 0.0000 Th
0.8192 0.3002 0.0000 Th
0.1808 0.6998 0.0000 Th
```

***

Stability ranking, top and bottom: run w is the most stable and run x is the least stable.

***

Run w
DFT (PBE) results for a geometry-optimized YThSe2 structure.

Computed properties:
* V: 101.9 Å³ per cell

Cell and atoms, written as POSCAR:
```
YThSe2
1.0
3.9166 0.0000 0.0000
1.9583 3.3919 0.0000
1.9583 1.1306 7.6669
Y Se Th
1 2 1
Direct
0.4972 0.4972 0.5084 Y
0.2463 0.2463 0.2611 Se
0.0876 0.0876 0.7372 Se
0.6689 0.6689 0.9933 Th
```

***

Run x
DFT (PBE) results for a geometry-optimized YThSe2 structure.

Computed properties:
* V: 100.7 Å³ per cell

Cell and atoms, written as POSCAR:
```
YThSe2
1.0
-1.8920 -3.4224 1.0009
0.4886 -3.3107 -2.2571
5.1148 -4.1568 3.5949
Se Th Y
2 1 1
Direct
0.2551 0.2551 0.2346 Se
0.7449 0.7449 0.7654 Se
0.5000 0.5000 0.5000 Th
0.0000 0.0000 0.0000 Y
```

***

Stability ranking, top and bottom: run x is the most stable and run w is the least stable.

***

Run w
DFT (PBE) results for a geometry-optimized YThSe2 structure.

Computed properties:
* V: 253.6 Å³ per cell

Cell and atoms, written as POSCAR:
```
YThSe2
1.0
4.1337 -0.0024 -0.0009
-0.0016 6.6846 -0.0015
-0.0040 0.0043 9.1790
Se Th Y
4 2 2
Direct
0.7010 0.5348 0.2056 Se
0.2000 0.1641 0.4139 Se
0.2018 0.0351 0.0105 Se
0.7005 0.6644 0.8017 Se
0.2006 0.9382 0.6827 Th
0.7005 0.4374 0.5336 Th
0.7020 0.2966 0.9426 Y
0.2014 0.7962 0.2733 Y
```

***

Run x
DFT (PBE) results for a geometry-optimized YThSe2 structure.

Computed properties:
* V: 93.7 Å³ per cell

Cell and atoms, written as POSCAR:
```
YThSe2
1.0
5.0984 0.0000 0.0000
2.5492 4.4153 0.0000
2.5492 1.4718 4.1628
Se Th Y
2 1 1
Direct
0.7500 0.7500 0.7500 Se
0.2500 0.2500 0.2500 Se
0.0000 0.0000 0.0000 Th
0.5000 0.5000 0.5000 Y
```

***

Stability ranking, top and bottom: run x is the most stable and run w is the least stable.

***

Run w
DFT (PBE) results for a geometry-optimized YTh2Se5 structure.

Computed properties:
* V: 540.5 Å³ per cell

Cell and atoms, written as POSCAR:
```
YTh2Se5
1.0
-0.0472 3.7166 -4.4437
-4.8094 -5.4014 -0.6902
-9.6384 7.7415 6.5773
Se Th Y
10 4 2
Direct
0.6663 0.3326 0.9243 Se
0.3337 0.6674 0.0757 Se
0.9506 0.9012 0.8782 Se
0.6663 0.3326 0.5757 Se
0.0494 0.0988 0.1218 Se
0.3337 0.6674 0.4243 Se
0.2513 0.5027 0.7500 Se
0.9506 0.9012 0.6218 Se
0.0494 0.0988 0.3782 Se
0.7487 0.4973 0.2500 Se
0.8453 0.6907 0.0570 Th
0.1547 0.3093 0.9430 Th
0.1547 0.3093 0.5570 Th
0.8453 0.6907 0.4430 Th
0.7886 0.5772 0.7500 Y
0.2114 0.4228 0.2500 Y
```

***

Run x
DFT (PBE) results for a geometry-optimized YTh2Se5 structure.

Computed properties:
* V: 420.9 Å³ per cell

Cell and atoms, written as POSCAR:
```
YTh2Se5
1.0
4.0719 0.0000 0.0000
0.0000 8.2160 0.0000
0.0000 0.0000 12.5826
Se Th Y
10 4 2
Direct
0.0000 0.0000 0.5000 Se
0.0000 0.1861 0.8056 Se
0.5000 0.1695 0.1054 Se
0.5000 0.6695 0.3946 Se
0.5000 0.8305 0.8946 Se
0.0000 0.6861 0.6944 Se
0.0000 0.3139 0.3056 Se
0.0000 0.5000 0.0000 Se
0.0000 0.8139 0.1944 Se
0.5000 0.3305 0.6054 Se
0.5000 0.4817 0.8219 Th
0.5000 0.5183 0.1781 Th
0.5000 0.0183 0.3219 Th
0.5000 0.9817 0.6781 Th
0.0000 0.0000 0.0000 Y
0.0000 0.5000 0.5000 Y
```

***

Stability ranking, top and bottom: run x is the most stable and run w is the least stable.

***

Run w
DFT (PBE) results for a geometry-optimized Th2ZnSe structure.

Computed properties:
* V: 109.6 Å³ per cell

Cell and atoms, written as POSCAR:
```
Th2ZnSe
1.0
4.2459 0.0000 0.0000
2.1230 3.6771 0.0000
2.1230 1.2257 7.0194
Zn Se Th
1 1 2
Direct
0.0000 0.0000 0.0000 Zn
0.5000 0.5000 0.5000 Se
0.7498 0.7498 0.7507 Th
0.2502 0.2502 0.2493 Th
```

***

Run x
DFT (PBE) results for a geometry-optimized Th2ZnSe structure.

Computed properties:
* V: 107.9 Å³ per cell

Cell and atoms, written as POSCAR:
```
Th2ZnSe
1.0
-2.9339 -2.4419 -0.2048
-1.1320 -1.3472 -3.3935
4.0391 -7.8143 -0.4002
Th Zn Se
2 1 1
Direct
0.2496 0.2496 0.2511 Th
0.0838 0.0838 0.7486 Th
0.6666 0.6666 0.0004 Zn
0.5000 0.5000 0.4999 Se
```

***

Run y
DFT (PBE) results for a geometry-optimized Th2ZnSe structure.

Computed properties:
* V: 209.3 Å³ per cell

Cell and atoms, written as POSCAR:
```
Th2ZnSe
1.0
-1.8525 0.7046 -3.6335
-3.4233 -2.2007 1.3186
-3.0072 11.0367 3.6734
Th Se Zn
4 2 2
Direct
0.2500 0.3225 0.6450 Th
0.7500 0.9325 0.8650 Th
0.2500 0.0675 0.1350 Th
0.7500 0.6775 0.3550 Th
0.7500 0.8054 0.6107 Se
0.2500 0.1946 0.3893 Se
0.2500 0.4636 0.9273 Zn
0.7500 0.5364 0.0727 Zn
```

***

Stability ranking, top and bottom: run y is the most stable and run x is the least stable.